No. 1
! Zn3CCl (PBE-GGA, optimized geometry); values from VASP
&SYSTEM
  ibrav = 0, nat = 5, ntyp = 3
/
ATOMIC_SPECIES
Zn 65.41 Zn.upf
Cl 35.45 Cl.upf
C 12.01 C.upf
ATOMIC_POSITIONS angstrom
Zn -1.738 -0.934 0.839
Zn 0.638 -1.891 -0.783
Zn -1.081 0.385 -1.811
Cl -2.181 -2.441 -1.754
C 0.000 0.000 0.000
CELL_PARAMETERS angstrom
-2.163 0.769 -3.622
1.277 -3.783 -1.565
-3.476 -1.868 1.679
! energy relative to the elements, uncorrected = 0.34 eV per atom
! energy above the most stable polymorph in this dataset = 0.000 eV per formula unit
! total magnetic moment = 0.0000 μB/atom

No. 2
! LiTe2Se (PBE-GGA, optimized geometry); values from VASP
&SYSTEM
  ibrav = 0, nat = 4, ntyp = 3
/
ATOMIC_SPECIES
Te 127.60 Te.upf
Se 78.96 Se.upf
Li 6.94 Li.upf
ATOMIC_POSITIONS angstrom
Te 2.189 0.656 2.700
Te 0.000 0.000 0.000
Se -0.035 2.601 2.396
Li 0.187 1.085 5.584
CELL_PARAMETERS angstrom
-2.037 3.031 5.280
2.411 -0.861 5.887
1.780 1.087 -6.072
! energy relative to the elements, uncorrected = -0.08 eV per atom
! total magnetic moment = 0.0000 μB/atom

No. 3
! LiF (PBE-GGA, optimized geometry); values from VASP
&SYSTEM
  ibrav = 0, nat = 12, ntyp = 2
/
ATOMIC_SPECIES
Li 6.94 Li.upf
F 19.00 F.upf
ATOMIC_POSITIONS angstrom
Li 1.742 2.136 0.813
Li -0.952 5.920 2.438
Li -0.979 2.576 2.438
Li 4.651 3.784 0.813
Li 4.624 0.441 0.813
Li 1.930 4.225 2.438
F -1.886 4.320 2.438
F 1.012 5.834 2.438
F 2.799 3.793 0.813
F 5.558 2.040 0.813
F 2.660 0.527 0.813
F 0.874 2.567 2.438
CELL_PARAMETERS angstrom
7.345 0.000 0.000
-3.672 6.361 0.000
0.000 0.000 3.251
! energy relative to the elements, uncorrected = -2.92 eV per atom
! energy above the most stable polymorph in this dataset = 0.065 eV per formula unit
! total magnetic moment = 0.0152 μB/atom

No. 4
! AgPbSe2 (PBE-GGA, optimized geometry); values from VASP
&SYSTEM
  ibrav = 0, nat = 4, ntyp = 3
/
ATOMIC_SPECIES
Se 78.96 Se.upf
Ag 107.87 Ag.upf
Pb 207.20 Pb.upf
ATOMIC_POSITIONS angstrom
Se -2.528 -1.290 2.382
Se -5.907 2.012 7.633
Ag -2.973 1.013 3.842
Pb -5.084 -0.420 5.684
CELL_PARAMETERS angstrom
-2.414 -1.301 -1.525
1.066 -2.543 1.496
-6.058 2.064 7.828
! energy relative to the elements, uncorrected = 0.25 eV per atom
! total magnetic moment = 0.0000 μB/atom